Record 1
# PBE KBi5Pt3, optimized geometry
data_KBi5Pt3
_cell_length_a 5.9079
_cell_length_b 5.9079
_cell_length_c 8.7532
_cell_angle_alpha 90.00
_cell_angle_beta 90.00
_cell_angle_gamma 120.00
_symmetry_space_group_name_H-M 'P 6/m m m'
_symmetry_Int_Tables_number 191
_symmetry_space_group_name_Hall '-P 6 2'
loop_
_atom_site_label
_atom_site_type_symbol
_atom_site_fract_x
_atom_site_fract_y
_atom_site_fract_z
K1 K 0.0000 0.0000 0.0000
Bi1 Bi 0.0000 0.0000 0.5000
Bi2 Bi 0.3333 0.6667 0.2320
Pt1 Pt 0.0000 0.5000 0.5000
# energy	-41.18	eV per cell
# density	10476	kg/m3

Record 2
# PBE ThReAg, optimized geometry
data_ThReAg
_cell_length_a 6.591
_cell_length_b 6.591
_cell_length_c 6.591
_cell_angle_alpha 90.00
_cell_angle_beta 90.00
_cell_angle_gamma 90.00
_symmetry_space_group_name_H-M 'F -4 3 m'
_symmetry_Int_Tables_number 216
_symmetry_space_group_name_Hall 'F -4 2 3'
loop_
_atom_site_label
_atom_site_type_symbol
_atom_site_fract_x
_atom_site_fract_y
_atom_site_fract_z
Th1 Th 0.000 0.000 0.000
Re1 Re 0.250 0.250 0.250
Ag1 Ag 0.000 0.000 0.500
# energy	-82.38	eV per cell
# density	12206	kg/m3
# energy above the lowest structure with this stoichiometry	0	meV/atom
# energy of formation	2.1	eV per formula unit

Record 3
# PBE ZrZnTc, optimized geometry
data_ZrZnTc
_cell_length_a 6.074
_cell_length_b 6.074
_cell_length_c 6.074
_cell_angle_alpha 90.00
_cell_angle_beta 90.00
_cell_angle_gamma 90.00
_symmetry_space_group_name_H-M 'F -4 3 m'
_symmetry_Int_Tables_number 216
_symmetry_space_group_name_Hall 'F -4 2 3'
loop_
_atom_site_label
_atom_site_type_symbol
_atom_site_fract_x
_atom_site_fract_y
_atom_site_fract_z
Zr1 Zr 0.000 0.000 0.000
Zn1 Zn 0.250 0.250 0.750
Tc1 Tc 0.000 0.000 0.500
# energy	-76.74	eV per cell
# density	7548	kg/m3
# energy above the lowest structure with this stoichiometry	0	meV/atom
# energy of formation	1.0	eV per formula unit

Record 4
# PBE Zr3Nb2W3N12, optimized geometry
data_Zr3Nb2W3N12
_cell_length_a 12.505
_cell_length_b 12.505
_cell_length_c 12.505
_cell_angle_alpha 90.00
_cell_angle_beta 90.00
_cell_angle_gamma 90.00
_symmetry_space_group_name_H-M 'I a -3 d'
_symmetry_Int_Tables_number 230
_symmetry_space_group_name_Hall '-I 4bd 2c 3'
loop_
_atom_site_label
_atom_site_type_symbol
_atom_site_fract_x
_atom_site_fract_y
_atom_site_fract_z
Zr1 Zr 0.000 0.250 0.125
Nb1 Nb 0.000 0.000 0.000
W1 W 0.000 0.250 0.375
N1 N 0.029 0.065 0.654
# energy	-1596.03	eV per cell
# density	8010	kg/m3

Look up the energy of the third one.
-76.74 eV per cell